KAcFeF6 (GGA+U, optimized geometry); space-group type = No. 163; M_tot = 8.0 Bohr magnetons per cell; VASP energy = -100.2 eV per cell
1.0
-4.328 2.303 -3.826
-1.667 -2.441 5.471
0.979 9.022 4.324
K Ac Fe F
2 2 2 12
Cartesian
0.000 0.000 0.000
0.490 4.511 2.162
-2.310 1.396 3.453
-2.707 7.488 2.517
-3.196 2.977 0.354
-1.820 5.907 5.615
-3.714 1.256 1.468
-4.607 2.622 -1.180
-2.482 4.215 6.699
-0.409 6.262 7.150
-1.892 3.297 1.988
-4.836 3.972 1.245
-3.422 6.836 6.635
-2.535 4.668 -0.729
-0.180 4.911 4.725
-1.594 2.048 -0.665
-3.124 5.587 3.982
-1.302 7.628 4.502